! GGA-PBE MgZn6Ir, relaxed; values from VASP
! Symmetry: C2/m
! Offset from the most stable computed form, meV/atom: 0
! Final energy, eV per atom: -2.37
! Crystal system: monoclinic
! Mass density, g cm⁻³: 8.23
! ΔH_f (0 K), eV/f.u.: -0.87
&SYSTEM
  ibrav = 0, nat = 8, ntyp = 3
/
ATOMIC_SPECIES
Mg 24.30 Mg.upf
Zn 65.41 Zn.upf
Ir 192.22 Ir.upf
CELL_PARAMETERS angstrom
5.036 0.000 0.500
2.518 4.354 0.250
-0.155 0.000 5.586
ATOMIC_POSITIONS crystal
Mg 0.000 0.000 0.500
Zn 0.496 0.498 0.234
Zn 0.995 0.502 0.234
Zn 0.005 0.498 0.766
Zn 0.503 0.502 0.766
Zn 0.497 0.000 0.233
Zn 0.503 0.000 0.767
Ir 0.000 0.000 0.000